This record from Alexandria via LeMat-Bulk describes crystalline KH2O2 at its relaxed geometry. The functional is GGA-PBE.

theoretical density = 2.15 g cm⁻³
distance to the lowest polymorph of the same formula = 267 meV/atom

The structure in POSCAR format:
```
KH2O2
1.0
6.6855 0.0000 0.0000
0.0000 6.6855 0.0000
0.0000 0.0000 2.5292
K H O
2 4 4
direct
0.0000 0.0000 0.0000 K
0.5000 0.5000 0.0000 K
0.1132 0.3868 0.5000 H
0.3868 0.8868 0.5000 H
0.6132 0.1132 0.5000 H
0.8868 0.6132 0.5000 H
0.1192 0.3808 0.0000 O
0.3808 0.8808 0.0000 O
0.6192 0.1192 0.0000 O
0.8808 0.6192 0.0000 O
```